DFT (PBE) results for an optimized crystal structure of SrVTcP2.

Calculated values
total energy: -7.19 eV/atom
DOS(E_F): 3.5 states/eV/cell

Unit cell a=3.8441 b=3.8441 c=6.8978 alpha=106.18 beta=106.18 gamma=90.00
With the nearest neighbours (Å) after each atom.
Sites, in units of the cell vectors:
P  0.3643  0.3643  0.7285  2 V 2.41, 2 Tc 2.41
V  0.2500  0.7500  0.5000  4 P 2.41
Sr  0.0000  0.0000  0.0000  8 P 3.22
P  0.6357  0.6357  0.2715  2 Tc 2.41, 2 V 2.41
Tc  0.7500  0.2500  0.5000  4 P 2.41